1.
DFT (PBE-GGA) results for an optimized crystal structure of KLaAs.

Values from the calculation:
Size of the total moment   0.1481 μB per atom
Space-group type   Fddd
Energy   -51.4 eV/cell
DOS at the Fermi energy   0.8272 states/eV per atom

Lattice parameters (Å, degrees): 9.8619 8.7306 8.0519 71.85 57.27 50.88
Fractional positions:
1 K 0.0000 0.0000 0.0000
2 K 0.0000 0.0000 0.5000
3 K 0.0000 0.5000 0.0000
4 K 0.5000 0.0000 0.0000
5 La 0.2416 0.2416 0.5084
6 La 0.4916 0.4916 0.7584
7 La 0.5084 0.5084 0.2416
8 La 0.7584 0.7584 0.4916
9 As 0.1963 0.5537 0.1963
10 As 0.4463 0.8037 0.4463
11 As 0.5537 0.1963 0.5537
12 As 0.8037 0.4463 0.8037

***

2.
DFT (PBE-GGA) results for an optimized crystal structure of LaRu2Pt.

Values from the calculation:
Size of the total moment   0.6928 μB per atom
Space-group type   F-43m
Energy   -29.0 eV/cell
DOS at the Fermi energy   1.1238 states/eV per atom

Lattice parameters (Å, degrees): 4.7318 4.7318 4.7318 60.00 60.00 60.00
Fractional positions:
1 La 0.0000 0.0000 0.0000
2 Ru 0.5000 0.5000 0.5000
3 Ru 0.7500 0.7500 0.7500
4 Pt 0.2500 0.2500 0.2500

***

3.
DFT (PBE-GGA) results for an optimized crystal structure of IrIN2Cl.

Values from the calculation:
Size of the total moment   0.0561 μB per atom
ΔE_f (raw)   0.929 eV/atom
Space-group type   P4/mmm
Energy   -24.3 eV/cell
DOS at the Fermi energy   0.5439 states/eV per atom

Lattice parameters (Å, degrees): 3.8214 3.8214 8.6852 90.00 90.00 90.00
Fractional positions:
1 Ir 0.0000 0.0000 0.0000
2 I 0.0000 0.0000 0.5000
3 N 0.0000 0.5000 0.0000
4 N 0.5000 0.0000 0.0000
5 Cl 0.5000 0.5000 0.5000

***

4.
DFT (PBE-GGA) results for an optimized crystal structure of PmPrSm.

Values from the calculation:
Size of the total moment   0.0000 μB per atom
Space-group type   Imm2
Energy   -14.2 eV/cell
DOS at the Fermi energy   1.4564 states/eV per atom

Lattice parameters (Å, degrees): 6.3529 6.3529 6.3529 146.42 131.87 59.96
Fractional positions:
1 Pm 0.0000 0.0000 0.0000
2 Pr 0.6673 0.6673 0.0000
3 Sm 0.3344 0.3344 0.0000

***

5.
DFT (PBE-GGA) results for an optimized crystal structure of TlIn2Hg2Pb.

Values from the calculation:
Size of the total moment   0.0000 μB per atom
Space-group type   Pmc2_1
Energy   -24.1 eV/cell
DOS at the Fermi energy   0.4002 states/eV per atom

Lattice parameters (Å, degrees): 4.7065 9.8977 7.2509 90.00 90.00 90.00
Fractional positions:
1 Tl 0.0000 0.0280 0.0000
2 Tl 0.0000 0.9720 0.5000
3 In 0.0000 0.3151 0.4148
4 In 0.0000 0.6849 0.9148
5 In 0.5000 0.4666 0.1322
6 In 0.5000 0.5334 0.6322
7 Hg 0.0000 0.3744 0.8874
8 Hg 0.0000 0.6256 0.3874
9 Hg 0.5000 0.1558 0.2430
10 Hg 0.5000 0.8442 0.7430
11 Pb 0.5000 0.1964 0.7200
12 Pb 0.5000 0.8036 0.2200

***

6.
DFT (PBE-GGA) results for an optimized crystal structure of Ho5Cu2Pb.

Values from the calculation:
Size of the total moment   0.0000 μB per atom
Space-group type   I4/mcm
Energy   -74.1 eV/cell
DOS at the Fermi energy   1.1604 states/eV per atom

Lattice parameters (Å, degrees): 8.5934 8.5934 8.5934 125.41 125.41 80.86
Fractional positions:
1 Ho 0.0000 0.0000 0.0000
2 Ho 0.0152 0.5152 0.8112
3 Ho 0.2040 0.0152 0.5000
4 Ho 0.2960 0.7960 0.8112
5 Ho 0.4848 0.2960 0.5000
6 Ho 0.5000 0.5000 0.0000
7 Ho 0.5152 0.7040 0.5000
8 Ho 0.7040 0.2040 0.1888
9 Ho 0.7960 0.9848 0.5000
10 Ho 0.9848 0.4848 0.1888
11 Cu 0.1296 0.3704 0.5000
12 Cu 0.3704 0.8704 0.2407
13 Cu 0.6296 0.1296 0.7593
14 Cu 0.8704 0.6296 0.5000
15 Pb 0.2500 0.2500 0.0000
16 Pb 0.7500 0.7500 0.0000